First-principles (PBE) data for a relaxed structure of HgMo2Ru, as listed in Alexandria via LeMat-Bulk.

Summary:
As for the final energy: -7.3902 eV per atom. As for the density of states at the Fermi level: 0.73 states/eV/atom. As for the formation energy from the elements: 0.420 eV/atom.

Cell: 9.6322 3.0047 4.6869 Å, 90.00 102.56 90.00°
Closest atoms and distances in Å follow each position.
Space group C2/m (No. 12)
Inequivalent atoms, fractional coordinates:
Hg1 0.0000 0.0000 0.0000 x2  4 Ru 2.78, 6 Mo 2.93-2.96, 2 Hg 3.00
Mo1 0.2424 0.0000 0.7151 x4  2 Mo 2.54, 2 Ru 2.78
Ru1 0.0000 0.5000 0.5000 x2  6 Mo 2.78-2.87, 4 Hg 2.78, 2 Ru 3.00